(1)
DFT (PBE-GGA) results for a relaxed structure of HfThIn.

```
12
Lattice="7.118 0.000 0.000 0.000 7.118 0.000 0.000 0.000 7.118" Properties=species:S:1:pos:R:3 pbc="T T T"
Hf 0.000 0.000 0.000
Hf 0.000 3.559 3.559
Hf 3.559 0.000 3.559
Hf 3.559 3.559 0.000
Th 0.000 0.000 3.559
Th 0.000 3.559 0.000
Th 3.559 0.000 0.000
Th 3.559 3.559 3.559
In 1.780 1.780 1.780
In 1.780 5.339 5.339
In 5.339 1.780 5.339
In 5.339 5.339 1.780
```

Calculated values
**DFT total energy**: -6.34 eV per atom
**Space-group type**: F-43m, No. 216
**Density**: 9675 kg/m3



(2)
DFT (PBE-GGA) results for a relaxed structure of HfTl2In.

```
16
Lattice="7.424 0.000 0.000 0.000 7.424 0.000 0.000 0.000 7.424" Properties=species:S:1:pos:R:3 pbc="T T T"
Hf 0.000 0.000 0.000
Hf 0.000 3.712 3.712
Hf 3.712 0.000 3.712
Hf 3.712 3.712 0.000
Tl 0.000 0.000 3.712
Tl 0.000 3.712 0.000
Tl 1.856 1.856 1.856
Tl 1.856 5.568 5.568
Tl 3.712 0.000 0.000
Tl 3.712 3.712 3.712
Tl 5.568 1.856 5.568
Tl 5.568 5.568 1.856
In 1.856 1.856 5.568
In 1.856 5.568 1.856
In 5.568 1.856 1.856
In 5.568 5.568 5.568
```

Calculated values
**DFT total energy**: -3.95 eV per atom
**Space-group type**: F-43m, No. 216
**Density**: 11396 kg/m3



(3)
DFT (PBE-GGA) results for a relaxed structure of TmHf2In.

```
4
Lattice="4.513 0.000 0.000 0.000 4.513 0.000 0.000 0.000 4.538" Properties=species:S:1:pos:R:3 pbc="T T T"
Tm 0.000 0.000 0.000
Hf 0.000 2.257 2.269
Hf 2.257 0.000 2.269
In 2.257 2.257 0.000
```

Calculated values
**DFT total energy**: -6.88 eV per atom
**Space-group type**: P4/mmm, No. 123
**Density**: 11512 kg/m3



(4)
DFT (PBE-GGA) results for a relaxed structure of Tm2HfIn.

```
4
Lattice="4.629 0.000 0.000 0.000 4.629 0.000 0.000 0.000 4.643" Properties=species:S:1:pos:R:3 pbc="T T T"
Tm 0.000 2.314 0.000
Tm 2.314 0.000 0.000
Hf 0.000 0.000 2.322
In 2.314 2.314 2.322
```

Calculated values
**DFT total energy**: -5.54 eV per atom
**Space-group type**: P4/mmm, No. 123
**Density**: 10534 kg/m3



- density of number 1 (HfThIn)?
  9675 kg/m3